Entry 1:
The following is a DFT calculation (PBE) of crystalline PrHo2SiN4 at its relaxed geometry.

Properties
- formation energy from raw total energies (meV per atom) = -1363

Lattice parameters (Å, degrees): 3.3794 11.6308 11.4816 90.00 90.00 90.00
Closest atoms and distances in Å follow each position.
Space group Cmcm (No. 63)
Unique sites:
Pr 0.0000 0.0860 0.2500 x4  8 N 2.72-3.04
Ho 0.0000 0.3685 0.0413 x8  6 N 2.29-2.49
Si 0.0000 0.1782 0.7500 x4  2 N 1.72
N 0.0000 0.0000 0.0000 x4  4 Ho 2.33
N 0.0000 0.2640 0.6275 x8  1 Si 1.72
N 0.0000 0.4029 0.2500 x4  2 Si 1.94

Entry 2:
The following is a DFT calculation (PBE) of crystalline AgPN2 at its relaxed geometry.

Properties
- formation energy from raw total energies (meV per atom) = 835

Lattice parameters (Å, degrees): 3.6643 3.6643 16.6496 90.00 90.00 120.00
Closest atoms and distances in Å follow each position.
Space group R-3m (No. 166, hexagonal axes)
Unique sites:
Ag 0.0000 0.0000 0.0000 x3  6 N 2.45
P 0.0000 0.0000 0.5000 x3  2 N 1.54
N 0.0000 0.0000 0.4074 x6  1 P 1.54

no.,volume (A^3/atom),total moment (μB/cell),DOS(E_F) (states/eV per cell)
1,14.10,0.00,5.54
2,16.13,0.00,2.80